Entry 1:
Below is an optimized crystal structure of PmGdTmTl, with properties calculated at the PBE level.

Formation energy   -79 meV per atom
Electronic total energy   -6.496 eV/atom
Symmetry   F-43m

Cell: 5.5060 5.5060 5.5060 Å, 60.00 60.00 60.00°
With the nearest neighbours (Å) after each atom.
Fractional coordinates of all 4 atoms:
Pm (0.0000, 0.0000, 0.0000)  4 Tl 3.37, 4 Tm 3.37
Gd (0.5000, 0.5000, 0.5000)  4 Tl 3.37, 4 Tm 3.37
Tm (0.7500, 0.7500, 0.7500)  4 Gd 3.37, 4 Pm 3.37
Tl (0.2500, 0.2500, 0.2500)  4 Gd 3.37, 4 Pm 3.37

Entry 2:
Below is an optimized crystal structure of PmGdYTl, with properties calculated at the PBE level.

Formation energy   -48 meV per atom
Electronic total energy   -6.963 eV/atom
Symmetry   F-43m

Cell: 5.5246 5.5246 5.5246 Å, 60.00 60.00 60.00°
With the nearest neighbours (Å) after each atom.
Fractional coordinates of all 4 atoms:
Pm (0.0000, 0.0000, 0.0000)  4 Gd 3.38, 4 Y 3.38
Gd (0.7500, 0.7500, 0.7500)  4 Tl 3.38, 4 Pm 3.38
Y (0.2500, 0.2500, 0.2500)  4 Tl 3.38, 4 Pm 3.38
Tl (0.5000, 0.5000, 0.5000)  4 Gd 3.38, 4 Y 3.38

Entry 3:
Below is an optimized crystal structure of PmGdTlZn, with properties calculated at the PBE level.

Formation energy   -349 meV per atom
Electronic total energy   -5.967 eV/atom
Symmetry   F-43m

Cell: 5.3155 5.3155 5.3155 Å, 60.00 60.00 60.00°
With the nearest neighbours (Å) after each atom.
Fractional coordinates of all 4 atoms:
Pm (0.0000, 0.0000, 0.0000)  4 Tl 3.26, 4 Zn 3.26
Gd (0.5000, 0.5000, 0.5000)  4 Tl 3.26, 4 Zn 3.26
Tl (0.7500, 0.7500, 0.7500)  4 Pm 3.26, 4 Gd 3.26
Zn (0.2500, 0.2500, 0.2500)  4 Gd 3.26, 4 Pm 3.26

Entry 4:
Below is an optimized crystal structure of PmGdYTm, with properties calculated at the PBE level.

Formation energy   105 meV per atom
Electronic total energy   -7.337 eV/atom
Symmetry   F-43m

Cell: 5.6930 5.6930 5.6930 Å, 60.00 60.00 60.00°
With the nearest neighbours (Å) after each atom.
Fractional coordinates of all 4 atoms:
Pm (0.0000, 0.0000, 0.0000)  4 Tm 3.49, 4 Y 3.49
Gd (0.5000, 0.5000, 0.5000)  4 Tm 3.49, 4 Y 3.49
Y (0.2500, 0.2500, 0.2500)  4 Gd 3.49, 4 Pm 3.49
Tm (0.7500, 0.7500, 0.7500)  4 Pm 3.49, 4 Gd 3.49

Entry 5:
Below is an optimized crystal structure of PmGdTmZn, with properties calculated at the PBE level.

Formation energy   13 meV per atom
Electronic total energy   -6.132 eV/atom
Symmetry   F-43m

Cell: 5.3664 5.3664 5.3664 Å, 60.00 60.00 60.00°
With the nearest neighbours (Å) after each atom.
Fractional coordinates of all 4 atoms:
Pm (0.0000, 0.0000, 0.0000)  4 Tm 3.29, 4 Zn 3.29
Gd (0.5000, 0.5000, 0.5000)  4 Tm 3.29, 4 Zn 3.29
Tm (0.2500, 0.2500, 0.2500)  4 Gd 3.29, 4 Pm 3.29
Zn (0.7500, 0.7500, 0.7500)  4 Gd 3.29, 4 Pm 3.29

Entry 6:
Below is an optimized crystal structure of PmGdTmZr, with properties calculated at the PBE level.

Formation energy   221 meV per atom
Electronic total energy   -7.741 eV/atom
Symmetry   F-43m

Cell: 5.5065 5.5065 5.5065 Å, 60.00 60.00 60.00°
With the nearest neighbours (Å) after each atom.
Fractional coordinates of all 4 atoms:
Pm (0.0000, 0.0000, 0.0000)  4 Zr 3.37, 4 Gd 3.37
Gd (0.2500, 0.2500, 0.2500)  4 Tm 3.37, 4 Pm 3.37
Tm (0.5000, 0.5000, 0.5000)  4 Zr 3.37, 4 Gd 3.37
Zr (0.7500, 0.7500, 0.7500)  4 Tm 3.37, 4 Pm 3.37

Entry 7:
Below is an optimized crystal structure of PmGd2V, with properties calculated at the PBE level.

Formation energy   340 meV per atom
Electronic total energy   -10.168 eV/atom
Symmetry   R-3m

Cell: 10.8966 10.8966 10.8966 Å, 18.41 18.41 18.41°
With the nearest neighbours (Å) after each atom.
Fractional coordinates of all 4 atoms:
Pm (0.0000, 0.0000, 0.0000)  6 Pm 3.49, 6 Gd 3.69
Gd (0.2372, 0.2372, 0.2372)  3 V 3.03
Gd (0.7628, 0.7628, 0.7628)  3 V 3.03
V (0.5000, 0.5000, 0.5000)  6 Gd 3.03

Entry 8:
Below is an optimized crystal structure of Pm2GdV, with properties calculated at the PBE level.

Formation energy   381 meV per atom
Electronic total energy   -7.794 eV/atom
Symmetry   R-3m

Cell: 10.9203 10.9203 10.9203 Å, 18.58 18.58 18.58°
With the nearest neighbours (Å) after each atom.
Fractional coordinates of all 4 atoms:
Pm (0.2375, 0.2375, 0.2375)  3 V 3.06
Pm (0.7625, 0.7625, 0.7625)  3 V 3.06
Gd (0.0000, 0.0000, 0.0000)  6 Gd 3.53, 6 Pm 3.69
V (0.5000, 0.5000, 0.5000)  6 Pm 3.06

Entry 9:
Below is an optimized crystal structure of Pm2GdY, with properties calculated at the PBE level.

Formation energy   112 meV per atom
Excess energy over the best structure of this formula in the dataset   98.6 meV/atom
Electronic total energy   -7.400 eV/atom
Symmetry   Fm-3m

Cell: 5.7548 5.7548 5.7548 Å, 60.00 60.00 60.00°
With the nearest neighbours (Å) after each atom.
Fractional coordinates of all 4 atoms:
Pm (0.2500, 0.2500, 0.2500)  4 Gd 3.52, 4 Y 3.52
Pm (0.7500, 0.7500, 0.7500)  4 Y 3.52, 4 Gd 3.52
Gd (0.0000, 0.0000, 0.0000)  8 Pm 3.52
Y (0.5000, 0.5000, 0.5000)  8 Pm 3.52

Entry 10:
Below is an optimized crystal structure of PmGd2Y, with properties calculated at the PBE level.

Formation energy   24 meV per atom
Excess energy over the best structure of this formula in the dataset   0.8 meV/atom
Electronic total energy   -9.820 eV/atom
Symmetry   R-3m

Cell: 11.9373 11.9373 11.9373 Å, 17.33 17.33 17.33°
With the nearest neighbours (Å) after each atom.
Fractional coordinates of all 4 atoms:
Pm (0.0000, 0.0000, 0.0000)  6 Pm 3.60, 6 Gd 3.61
Gd (0.2495, 0.2495, 0.2495)  3 Y 3.58, 6 Gd 3.60, 3 Pm 3.61
Gd (0.7505, 0.7505, 0.7505)  3 Y 3.58, 6 Gd 3.60, 3 Pm 3.61
Y (0.5000, 0.5000, 0.5000)  6 Gd 3.58, 6 Y 3.60

Entry 11:
Below is an optimized crystal structure of PmGd2Y, with properties calculated at the PBE level.

Formation energy   26 meV per atom
Excess energy over the best structure of this formula in the dataset   3.2 meV/atom
Electronic total energy   -9.818 eV/atom
Symmetry   P4/mmm

Cell: 3.5985 3.5985 10.1699 Å, 90.00 90.00 90.00°
With the nearest neighbours (Å) after each atom.
Fractional coordinates of all 4 atoms:
Pm (0.0000, 0.0000, 0.0000)  4 Pm 3.60, 8 Gd 3.61
Gd (0.5000, 0.5000, 0.2513)  4 Y 3.59, 4 Gd 3.60, 4 Pm 3.61
Gd (0.5000, 0.5000, 0.7487)  4 Y 3.59, 4 Gd 3.60, 4 Pm 3.61
Y (0.0000, 0.0000, 0.5000)  8 Gd 3.59, 4 Y 3.60

Entry 12:
Below is an optimized crystal structure of PmGd4Y, with properties calculated at the PBE level.

Formation energy   242 meV per atom
Electronic total energy   -11.015 eV/atom
Symmetry   F-43m

Cell: 6.6120 6.6120 6.6120 Å, 60.00 60.00 60.00°
With the nearest neighbours (Å) after each atom.
Fractional coordinates of all 6 atoms:
Pm (0.0000, 0.0000, 0.0000)  12 Gd 3.88, 4 Y 4.05
Gd (0.3752, 0.3752, 0.3752)  6 Gd 3.30-3.31
Gd (0.3752, 0.3752, 0.8743)  6 Gd 3.30-3.31
Gd (0.3752, 0.8743, 0.3752)  6 Gd 3.30-3.31
Gd (0.8743, 0.3752, 0.3752)  6 Gd 3.30-3.31
Y (0.7500, 0.7500, 0.7500)  12 Gd 3.88, 4 Pm 4.05

Entry 13:
Below is an optimized crystal structure of PmGd2Y, with properties calculated at the PBE level.

Formation energy   90 meV per atom
Excess energy over the best structure of this formula in the dataset   67.0 meV/atom
Electronic total energy   -9.754 eV/atom
Symmetry   Fm-3m

Cell: 5.7182 5.7182 5.7182 Å, 60.00 60.00 60.00°
With the nearest neighbours (Å) after each atom.
Fractional coordinates of all 4 atoms:
Pm (0.0000, 0.0000, 0.0000)  8 Gd 3.50
Gd (0.2500, 0.2500, 0.2500)  4 Pm 3.50, 4 Y 3.50
Gd (0.7500, 0.7500, 0.7500)  4 Pm 3.50, 4 Y 3.50
Y (0.5000, 0.5000, 0.5000)  8 Gd 3.50

Entry 14:
Below is an optimized crystal structure of Pm2GdY, with properties calculated at the PBE level.

Formation energy   13 meV per atom
Excess energy over the best structure of this formula in the dataset   0.0 meV/atom
Electronic total energy   -7.498 eV/atom
Symmetry   R-3m

Cell: 11.9350 11.9350 11.9350 Å, 17.45 17.45 17.45°
With the nearest neighbours (Å) after each atom.
Fractional coordinates of all 4 atoms:
Pm (0.2502, 0.2502, 0.2502)  3 Y 3.60, 3 Gd 3.61, 6 Pm 3.62
Pm (0.7498, 0.7498, 0.7498)  3 Y 3.60, 3 Gd 3.61, 6 Pm 3.62
Gd (0.5000, 0.5000, 0.5000)  6 Pm 3.61, 6 Gd 3.62
Y (0.0000, 0.0000, 0.0000)  6 Pm 3.60, 6 Y 3.62

Entry 15:
Below is an optimized crystal structure of PmGd2Y, with properties calculated at the PBE level.

Formation energy   23 meV per atom
Excess energy over the best structure of this formula in the dataset   0.0 meV/atom
Electronic total energy   -9.821 eV/atom
Symmetry   P4/mmm

Cell: 5.0805 5.0805 5.0927 Å, 90.00 90.00 90.00°
With the nearest neighbours (Å) after each atom.
Fractional coordinates of all 4 atoms:
Pm (0.0000, 0.0000, 0.0000)  4 Y 3.59, 8 Gd 3.60
Gd (0.0000, 0.5000, 0.5000)  4 Gd 3.59, 4 Y 3.60, 4 Pm 3.60
Gd (0.5000, 0.0000, 0.5000)  4 Gd 3.59, 4 Y 3.60, 4 Pm 3.60
Y (0.5000, 0.5000, 0.0000)  4 Pm 3.59, 8 Gd 3.60

Entry 16:
Below is an optimized crystal structure of Pm2GdY, with properties calculated at the PBE level.

Formation energy   14 meV per atom
Excess energy over the best structure of this formula in the dataset   0.6 meV/atom
Electronic total energy   -7.498 eV/atom
Symmetry   P4/mmm

Cell: 5.1182 5.1182 5.0918 Å, 90.00 90.00 90.00°
With the nearest neighbours (Å) after each atom.
Fractional coordinates of all 4 atoms:
Pm (0.0000, 0.5000, 0.0000)  4 Gd 3.61, 4 Y 3.61, 4 Pm 3.62
Pm (0.5000, 0.0000, 0.0000)  4 Gd 3.61, 4 Y 3.61, 4 Pm 3.62
Gd (0.0000, 0.0000, 0.5000)  8 Pm 3.61, 4 Y 3.62
Y (0.5000, 0.5000, 0.5000)  8 Pm 3.61, 4 Gd 3.62

Entry 17:
Below is an optimized crystal structure of Pm2GdY, with properties calculated at the PBE level.

Formation energy   17 meV per atom
Excess energy over the best structure of this formula in the dataset   3.6 meV/atom
Electronic total energy   -7.495 eV/atom
Symmetry   P4/mmm

Cell: 3.6210 3.6210 10.1931 Å, 90.00 90.00 90.00°
With the nearest neighbours (Å) after each atom.
Fractional coordinates of all 4 atoms:
Pm (0.0000, 0.0000, 0.2492)  4 Y 3.61, 4 Gd 3.62, 4 Pm 3.62
Pm (0.0000, 0.0000, 0.7508)  4 Y 3.61, 4 Gd 3.62, 4 Pm 3.62
Gd (0.5000, 0.5000, 0.5000)  8 Pm 3.62, 4 Gd 3.62
Y (0.5000, 0.5000, 0.0000)  8 Pm 3.61, 4 Y 3.62

Entry 18:
Below is an optimized crystal structure of PmGdYZr, with properties calculated at the PBE level.

Formation energy   201 meV per atom
Electronic total energy   -8.260 eV/atom
Symmetry   F-43m

Cell: 5.5411 5.5411 5.5411 Å, 60.00 60.00 60.00°
With the nearest neighbours (Å) after each atom.
Fractional coordinates of all 4 atoms:
Pm (0.0000, 0.0000, 0.0000)  4 Y 3.39, 4 Zr 3.39
Gd (0.5000, 0.5000, 0.5000)  4 Y 3.39, 4 Zr 3.39
Y (0.7500, 0.7500, 0.7500)  4 Gd 3.39, 4 Pm 3.39
Zr (0.2500, 0.2500, 0.2500)  4 Gd 3.39, 4 Pm 3.39

Entry 19:
Below is an optimized crystal structure of Pm2GdZn, with properties calculated at the PBE level.

Formation energy   -46 meV per atom
Excess energy over the best structure of this formula in the dataset   100.1 meV/atom
Electronic total energy   -6.260 eV/atom
Symmetry   P4/mmm

Cell: 4.8520 4.8520 4.7818 Å, 90.00 90.00 90.00°
With the nearest neighbours (Å) after each atom.
Fractional coordinates of all 4 atoms:
Pm (0.0000, 0.5000, 0.0000)  4 Zn 3.41, 4 Gd 3.41, 4 Pm 3.43
Pm (0.5000, 0.0000, 0.0000)  4 Zn 3.41, 4 Gd 3.41, 4 Pm 3.43
Gd (0.0000, 0.0000, 0.5000)  8 Pm 3.41, 4 Zn 3.43
Zn (0.5000, 0.5000, 0.5000)  8 Pm 3.41, 4 Gd 3.43

Entry 20:
Below is an optimized crystal structure of PmGd2Zn, with properties calculated at the PBE level.

Formation energy   56 meV per atom
Excess energy over the best structure of this formula in the dataset   217.1 meV/atom
Electronic total energy   -8.491 eV/atom
Symmetry   Fm-3m

Cell: 5.3969 5.3969 5.3969 Å, 60.00 60.00 60.00°
With the nearest neighbours (Å) after each atom.
Fractional coordinates of all 4 atoms:
Pm (0.0000, 0.0000, 0.0000)  8 Gd 3.30
Gd (0.2500, 0.2500, 0.2500)  4 Pm 3.30, 4 Zn 3.30
Gd (0.7500, 0.7500, 0.7500)  4 Pm 3.30, 4 Zn 3.30
Zn (0.5000, 0.5000, 0.5000)  8 Gd 3.30